# 1
Here is Ac4Te2AsRu after structural relaxation from the Alexandria database. Energies are from GGA-PBE.

Computed properties:
**Total magnetization**: 0.0 μB/f.u.
**E_form (uncorrected)**: -890 kJ/mol of formula units
**N(E_F)**: 3.5 states/eV per cell
**Uncorrected energy**: -45.87 eV per cell
**SG**: P2/m, No. 10
**ρ**: 7.97 g/cm3

Cell: 4.5119 7.9019 8.2242 Å, 107.83 90.00 90.00°
Fractional positions:
Ac: 0.5000 0.2589 0.2117
Ac: 0.5000 0.7411 0.7883
Ac: 0.0000 0.2708 0.7868
Ac: 0.0000 0.7292 0.2132
Te: 0.5000 0.0000 0.5000
Te: 0.0000 0.5000 0.5000
As: 0.0000 0.0000 0.0000
Ru: 0.5000 0.5000 0.0000



# 2
Here is Ac2AsS6 after structural relaxation from the Alexandria database. Energies are from GGA-PBE.

Computed properties:
**Total magnetization**: 0.0 μB/f.u.
**E_form (uncorrected)**: -951 kJ/mol of formula units
**N(E_F)**: 4.4 states/eV per cell
**Uncorrected energy**: -94.98 eV per cell
**SG**: P2_1/c, No. 14
**ρ**: 5.47 g/cm3

Cell: 5.7413 7.7626 9.8313 Å, 90.00 91.14 90.00°
Fractional positions:
Ac: 0.9423 0.4014 0.7348
Ac: 0.5577 0.9014 0.7652
Ac: 0.4423 0.0986 0.2348
Ac: 0.0577 0.5986 0.2652
As: 0.5000 0.5000 0.0000
As: 0.0000 0.0000 0.5000
S: 0.9377 0.9762 0.2556
S: 0.8050 0.7185 0.5287
S: 0.8478 0.6725 0.9784
S: 0.6522 0.1725 0.5216
S: 0.6950 0.2185 0.9713
S: 0.5623 0.4762 0.2444
S: 0.0623 0.0238 0.7444
S: 0.1950 0.2815 0.4713
S: 0.1522 0.3275 0.0216
S: 0.3478 0.8275 0.4784
S: 0.3050 0.7815 0.0287
S: 0.4377 0.5238 0.7556



# 3
Here is Ac4AsS2 after structural relaxation from the Alexandria database. Energies are from GGA-PBE.

Computed properties:
**Total magnetization**: 0.0 μB/f.u.
**E_form (uncorrected)**: -983 kJ/mol of formula units
**N(E_F)**: 5.5 states/eV per cell
**Uncorrected energy**: -39.53 eV per cell
**SG**: C2/m, No. 12
**ρ**: 7.32 g/cm3

Cell: 4.3221 8.5397 7.4476 Å, 64.27 89.99 75.34°
Fractional positions:
Ac: 0.8705 0.2585 0.5406
Ac: 0.1295 0.7415 0.4594
Ac: 0.6289 0.7423 0.9666
Ac: 0.3711 0.2577 0.0334
As: 0.0000 0.0000 0.0000
S: 0.7461 0.5082 0.7463
S: 0.2539 0.4918 0.2537



# 4
Here is Ac3AsS after structural relaxation from the Alexandria database. Energies are from GGA-PBE.

Computed properties:
**Total magnetization**: 0.0 μB/f.u.
**E_form (uncorrected)**: -331 kJ/mol of formula units
**N(E_F)**: 7.7 states/eV per cell
**Uncorrected energy**: -24.54 eV per cell
**SG**: Pm-3m, No. 221
**ρ**: 7.26 g/cm3

Cell: 5.6476 5.6476 5.6476 Å, 90.00 90.00 90.00°
Fractional positions:
S: 0.0000 0.0000 0.0000
Ac: 0.0000 0.5000 0.0000
Ac: 0.0000 0.0000 0.5000
Ac: 0.5000 0.0000 0.0000
As: 0.5000 0.5000 0.5000



# 5
Here is AcAs4S after structural relaxation from the Alexandria database. Energies are from GGA-PBE.

Computed properties:
**Total magnetization**: 0.0 μB/f.u.
**E_form (uncorrected)**: -178 kJ/mol of formula units
**N(E_F)**: 3.9 states/eV per cell
**Uncorrected energy**: -28.68 eV per cell
**SG**: F-43m, No. 216
**ρ**: 6.84 g/cm3

Cell: 5.7676 5.7676 5.7676 Å, 60.00 60.00 60.00°
Fractional positions:
S: 0.0000 0.0000 0.0000
Ac: 0.2500 0.2500 0.2500
As: 0.6376 0.6376 0.0872
As: 0.6376 0.0872 0.6376
As: 0.6376 0.6376 0.6376
As: 0.0872 0.6376 0.6376



# 6
Here is AcAsS after structural relaxation from the Alexandria database. Energies are from GGA-PBE.

Computed properties:
**Total magnetization**: 0.0 μB/f.u.
**E_form (uncorrected)**: -376 kJ/mol of formula units
**Offset from the most stable computed form**: 0.97 eV/f.u.
**Uncorrected energy**: -67.13 eV per cell
**SG**: Pnma, No. 62
**ρ**: 7.06 g/cm3

Cell: 6.7598 7.9531 5.8457 Å, 90.00 90.00 90.00°
Fractional positions:
Ac: 0.2422 0.3262 0.0000
Ac: 0.2591 0.8262 0.5000
Ac: 0.7591 0.1738 0.5000
Ac: 0.7422 0.6738 0.0000
S: 0.7060 0.7782 0.5000
S: 0.7953 0.2782 0.0000
S: 0.2953 0.7218 0.0000
S: 0.2060 0.2218 0.5000
As: 0.9409 0.5480 0.5000
As: 0.4409 0.4520 0.5000
As: 0.5603 0.0480 0.9999
As: 0.0603 0.9520 0.0001



# 7
Here is Ac5AsS4 after structural relaxation from the Alexandria database. Energies are from GGA-PBE.

Computed properties:
**Total magnetization**: 0.0 μB/f.u.
**E_form (uncorrected)**: -1846 kJ/mol of formula units
**N(E_F)**: 4.8 states/eV per cell
**Uncorrected energy**: -60.83 eV per cell
**SG**: Immm, No. 71
**ρ**: 7.59 g/cm3

Cell: 4.3704 6.1625 11.5062 Å, 105.53 100.95 90.00°
Fractional positions:
Ac: 0.6022 0.1022 0.2045
Ac: 0.8001 0.3001 0.6003
Ac: 0.1999 0.6999 0.3997
Ac: 0.0000 0.5000 0.0000
Ac: 0.3978 0.8978 0.7955
As: 0.0000 0.0000 0.0000
S: 0.3992 0.3992 0.7984
S: 0.7978 0.7978 0.5957
S: 0.2022 0.2022 0.4043
S: 0.6008 0.6008 0.2016



# 8
Here is Ac2AsS after structural relaxation from the Alexandria database. Energies are from GGA-PBE.

Computed properties:
**Total magnetization**: 0.0 μB/f.u.
**E_form (uncorrected)**: -558 kJ/mol of formula units
**N(E_F)**: 2.7 states/eV per cell
**Offset from the most stable computed form**: 1.33 eV/f.u.
**Uncorrected energy**: -22.77 eV per cell
**SG**: P4/mmm, No. 123
**ρ**: 8.54 g/cm3

Cell: 3.7951 3.7951 7.5762 Å, 90.00 90.00 90.00°
Fractional positions:
S: 0.5000 0.5000 0.0000
Ac: 0.0000 0.0000 0.7466
Ac: 0.0000 0.0000 0.2534
As: 0.5000 0.5000 0.5000



# 9
Here is Ac4As3S after structural relaxation from the Alexandria database. Energies are from GGA-PBE.

Computed properties:
**Total magnetization**: 0.0 μB/f.u.
**E_form (uncorrected)**: -1275 kJ/mol of formula units
**N(E_F)**: 2.4 states/eV per cell
**Uncorrected energy**: -95.45 eV per cell
**SG**: P2/c, No. 13
**ρ**: 7.53 g/cm3

Cell: 7.7924 7.7792 8.9906 Å, 90.00 90.00 109.50°
Fractional positions:
S: 0.7500 0.0000 0.8768
S: 0.2500 0.0000 0.1232
Ac: 0.0000 0.2504 0.6243
Ac: 0.5000 0.2506 0.8749
Ac: 0.5000 0.2504 0.3757
Ac: 0.0000 0.2506 0.1251
Ac: 0.0000 0.7494 0.8749
Ac: 0.5000 0.7496 0.6243
Ac: 0.5000 0.7494 0.1251
Ac: 0.0000 0.7496 0.3757
As: 0.7500 0.0000 0.3726
As: 0.2500 0.0000 0.6274
As: 0.7500 0.5000 0.6272
As: 0.7500 0.5000 0.1237
As: 0.2500 0.5000 0.3728
As: 0.2500 0.5000 0.8763



# 10
Here is Ac4As2S after structural relaxation from the Alexandria database. Energies are from GGA-PBE.

Computed properties:
**Total magnetization**: 0.8 μB/f.u.
**E_form (uncorrected)**: -893 kJ/mol of formula units
**N(E_F)**: 5.0 states/eV per cell
**Offset from the most stable computed form**: 0.00 eV/f.u.
**Uncorrected energy**: -39.11 eV per cell
**SG**: C2/m, No. 12
**ρ**: 7.34 g/cm3

Cell: 4.3620 7.6073 8.6212 Å, 116.02 104.65 90.00°
Fractional positions:
Ac: 0.1261 0.8009 0.2522
Ac: 0.8739 0.1991 0.7478
Ac: 0.3750 0.7141 0.7499
Ac: 0.6250 0.2859 0.2501
As: 0.2549 0.2569 0.5099
As: 0.7451 0.7431 0.4901
S: 0.0000 0.0000 0.0000



# 11
Here is Ac2AsS after structural relaxation from the Alexandria database. Energies are from GGA-PBE.

Computed properties:
**Total magnetization**: 0.0 μB/f.u.
**E_form (uncorrected)**: -686 kJ/mol of formula units
**N(E_F)**: 2.1 states/eV per cell
**Offset from the most stable computed form**: 0.00 eV/f.u.
**Uncorrected energy**: -48.20 eV per cell
**SG**: Pmmn, No. 59
**ρ**: 7.55 g/cm3

Cell: 4.4483 6.2754 8.8377 Å, 90.00 90.00 90.00°
Fractional positions:
Ac: 0.0000 0.0000 0.8747
Ac: 0.0000 0.0000 0.3768
Ac: 0.5000 0.5000 0.6232
Ac: 0.5000 0.5000 0.1253
As: 0.0000 0.5000 0.8710
As: 0.5000 0.0000 0.1290
S: 0.5000 0.0000 0.6228
S: 0.0000 0.5000 0.3772



# 12
Here is Ac2AsS after structural relaxation from the Alexandria database. Energies are from GGA-PBE.

Computed properties:
**Total magnetization**: 0.0 μB/f.u.
**E_form (uncorrected)**: -686 kJ/mol of formula units
**N(E_F)**: 1.9 states/eV per cell
**Offset from the most stable computed form**: 0.00 eV/f.u.
**Uncorrected energy**: -24.10 eV per cell
**SG**: R-3m, No. 166
**ρ**: 7.55 g/cm3

Cell: 4.4522 4.4522 7.6294 Å, 73.04 73.04 60.00°
Fractional positions:
S: 0.0000 0.0000 0.0000
Ac: 0.2506 0.2506 0.2481
Ac: 0.7494 0.7494 0.7519
As: 0.5000 0.5000 0.5000